CsBaVF6 | GGA+U | relaxed

Cell lengths 7.8742, 8.5987, 10.6864 Å; angles 90.00, 90.00, 90.00 degrees
With the nearest neighbours (Å) after each atom.
Space group Imma (No. 74)
Unique sites:
Cs (0.0000, 0.2500, 0.0949)  5 F 2.95-3.19
Ba (0.0000, 0.0000, 0.5000)  6 F 2.55-2.72
V (0.2500, 0.2500, 0.7500)  6 F 1.95-2.07
F (0.0000, 0.2500, 0.3711)  2 Ba 2.55
F (0.0000, 0.2500, 0.6893)  2 V 2.07
F (0.2142, 0.0899, 0.8763)  1 V 1.95

Values from the calculation:
ρ	3.99	Mg/m³
raw total energy	-5.62	eV/atom